First-principles (PBE) data for a geometry-optimized NdTlHgBi structure, as listed in the Alexandria database.

```
4
Lattice="4.623 0.000 0.000 0.000 4.812 0.000 0.000 0.000 5.166" Properties=species:S:1:pos:R:3 pbc="T T T"
Nd 0.000 0.000 0.000
Tl 0.000 2.406 2.583
Hg 2.312 0.000 2.583
Bi 2.312 2.406 0.000
```

Values from the calculation:
Total magnetic moment in μB per cell: 0.0
Final energy in eV/f.u.: -13.002
SG: Pmmm, No. 47
Volume in Å³/atom: 28.733

First-principles (PBE) data for a geometry-optimized NdTlHgBi structure, as listed in the Alexandria database.

```
16
Lattice="7.840 0.000 0.000 0.000 7.840 0.000 0.000 0.000 7.840" Properties=species:S:1:pos:R:3 pbc="T T T"
Nd 0.000 0.000 0.000
Nd 0.000 3.920 3.920
Nd 3.920 0.000 3.920
Nd 3.920 3.920 0.000
Tl 0.000 0.000 3.920
Tl 0.000 3.920 0.000
Tl 3.920 0.000 0.000
Tl 3.920 3.920 3.920
Hg 1.960 1.960 5.880
Hg 1.960 5.880 1.960
Hg 5.880 1.960 1.960
Hg 5.880 5.880 5.880
Bi 1.960 1.960 1.960
Bi 1.960 5.880 5.880
Bi 5.880 1.960 5.880
Bi 5.880 5.880 1.960
```

Values from the calculation:
Total magnetic moment in μB per cell: 0.0
Final energy in eV/f.u.: -12.587
SG: F-43m, No. 216
Volume in Å³/atom: 30.115

First-principles (PBE) data for a geometry-optimized NdZnHgBi structure, as listed in the Alexandria database.

```
16
Lattice="7.511 0.000 0.000 0.000 7.511 0.000 0.000 0.000 7.511" Properties=species:S:1:pos:R:3 pbc="T T T"
Nd 0.000 0.000 0.000
Nd 0.000 3.755 3.755
Nd 3.755 0.000 3.755
Nd 3.755 3.755 0.000
Zn 1.878 1.878 1.878
Zn 1.878 5.633 5.633
Zn 5.633 1.878 5.633
Zn 5.633 5.633 1.878
Hg 1.878 1.878 5.633
Hg 1.878 5.633 1.878
Hg 5.633 1.878 1.878
Hg 5.633 5.633 5.633
Bi 0.000 0.000 3.755
Bi 0.000 3.755 0.000
Bi 3.755 0.000 0.000
Bi 3.755 3.755 3.755
```

Values from the calculation:
Total magnetic moment in μB per cell: 0.0
Final energy in eV/f.u.: -11.284
SG: F-43m, No. 216
Volume in Å³/atom: 26.479

First-principles (PBE) data for a geometry-optimized Ni2Hg2Bi structure, as listed in the Alexandria database.

```
10
Lattice="7.393 0.000 0.000 0.000 7.393 0.000 0.000 0.000 3.428" Properties=species:S:1:pos:R:3 pbc="T T T"
Ni 0.987 2.710 0.000
Ni 2.710 6.407 0.000
Ni 4.683 0.987 0.000
Ni 6.407 4.683 0.000
Hg 1.165 4.861 1.714
Hg 2.532 1.165 1.714
Hg 4.861 6.229 1.714
Hg 6.229 2.532 1.714
Bi 0.000 0.000 0.000
Bi 3.697 3.697 0.000
```

Values from the calculation:
Total magnetic moment in μB per cell: 0.0
Final energy in eV/f.u.: -14.950
SG: P4/mbm, No. 127
Volume in Å³/atom: 18.736

First-principles (PBE) data for a geometry-optimized NiHg2Bi2 structure, as listed in the Alexandria database.

```
10
Lattice="4.365 0.000 0.000 0.000 4.365 0.000 0.000 0.000 15.366" Properties=species:S:1:pos:R:3 pbc="T T T"
Ni 0.000 0.000 0.000
Ni 2.182 2.182 7.683
Hg 0.000 0.000 6.317
Hg 0.000 0.000 9.049
Hg 2.182 2.182 1.366
Hg 2.182 2.182 14.000
Bi 0.000 2.182 3.842
Bi 0.000 2.182 11.525
Bi 2.182 0.000 3.842
Bi 2.182 0.000 11.525
```

Values from the calculation:
Total magnetic moment in μB per cell: 0.0
Final energy in eV/f.u.: -10.547
SG: I4/mmm, No. 139
Volume in Å³/atom: 29.274

First-principles (PBE) data for a geometry-optimized NiHgBi structure, as listed in the Alexandria database.

```
12
Lattice="6.432 0.000 0.000 0.000 6.432 0.000 0.000 0.000 6.432" Properties=species:S:1:pos:R:3 pbc="T T T"
Ni 0.000 0.000 0.000
Ni 0.000 3.216 3.216
Ni 3.216 0.000 3.216
Ni 3.216 3.216 0.000
Hg 1.608 1.608 4.824
Hg 1.608 4.824 1.608
Hg 4.824 1.608 1.608
Hg 4.824 4.824 4.824
Bi 1.608 1.608 1.608
Bi 1.608 4.824 4.824
Bi 4.824 1.608 4.824
Bi 4.824 4.824 1.608
```

Values from the calculation:
Total magnetic moment in μB per cell: 0.0
Final energy in eV/f.u.: -9.676
SG: F-43m, No. 216
Volume in Å³/atom: 22.172

First-principles (PBE) data for a geometry-optimized NiHg3Bi structure, as listed in the Alexandria database.

```
5
Lattice="5.862 0.000 0.000 0.000 5.862 0.000 0.000 0.000 5.862" Properties=species:S:1:pos:R:3 pbc="T T T"
Ni 0.000 0.000 0.000
Hg 0.000 2.931 2.931
Hg 2.931 0.000 2.931
Hg 2.931 2.931 0.000
Bi 2.931 2.931 2.931
```

Values from the calculation:
Total magnetic moment in μB per cell: 1.2
Final energy in eV/f.u.: -5.861
SG: Pm-3m, No. 221
Volume in Å³/atom: 40.291

First-principles (PBE) data for a geometry-optimized NiHg2Bi2 structure, as listed in the Alexandria database.

```
10
Lattice="7.023 0.000 0.000 0.000 7.023 0.000 0.000 0.000 5.047" Properties=species:S:1:pos:R:3 pbc="T T T"
Ni 0.000 0.000 0.000
Ni 3.511 3.511 0.000
Hg 1.090 2.422 0.000
Hg 2.422 5.933 0.000
Hg 4.601 1.090 0.000
Hg 5.933 4.601 0.000
Bi 1.182 4.693 2.524
Bi 2.329 1.182 2.524
Bi 4.693 5.841 2.524
Bi 5.841 2.329 2.524
```

Values from the calculation:
Total magnetic moment in μB per cell: 0.0
Final energy in eV/f.u.: -12.476
SG: P4/mbm, No. 127
Volume in Å³/atom: 24.893

First-principles (PBE) data for a geometry-optimized Ni2Hg2Bi structure, as listed in the Alexandria database.

```
10
Lattice="3.411 0.000 0.000 0.000 3.411 0.000 0.000 0.000 17.979" Properties=species:S:1:pos:R:3 pbc="T T T"
Ni 0.000 1.706 4.495
Ni 0.000 1.706 13.485
Ni 1.706 0.000 4.495
Ni 1.706 0.000 13.485
Hg 0.000 0.000 2.387
Hg 0.000 0.000 15.593
Hg 1.706 1.706 6.603
Hg 1.706 1.706 11.377
Bi 0.000 0.000 8.990
Bi 1.706 1.706 0.000
```

Values from the calculation:
Total magnetic moment in μB per cell: 0.0
Final energy in eV/f.u.: -14.502
SG: I4/mmm, No. 139
Volume in Å³/atom: 20.922

First-principles (PBE) data for a geometry-optimized NiHgBi3 structure, as listed in the Alexandria database.

```
10
Lattice="8.387 0.000 0.000 0.000 4.102 0.000 -2.427 0.000 8.218" Properties=species:S:1:pos:R:3 pbc="T T T"
Ni 0.438 1.025 0.646
Ni 5.522 3.076 7.573
Hg 1.073 3.076 5.610
Hg 4.886 1.025 2.609
Bi -1.630 1.025 6.124
Bi 2.219 3.076 0.353
Bi 1.721 1.025 3.069
Bi 4.239 3.076 5.149
Bi 3.741 1.025 7.865
Bi 7.590 3.076 2.094
```

Values from the calculation:
Total magnetic moment in μB per cell: 0.0
Final energy in eV/f.u.: -17.777
SG: P2_1/m, No. 11
Volume in Å³/atom: 28.273

First-principles (PBE) data for a geometry-optimized NiHgBi3 structure, as listed in the Alexandria database.

```
5
Lattice="5.651 0.000 0.000 0.000 5.651 0.000 0.000 0.000 5.651" Properties=species:S:1:pos:R:3 pbc="T T T"
Ni 0.000 0.000 0.000
Hg 2.826 2.826 2.826
Bi 0.000 2.826 2.826
Bi 2.826 0.000 2.826
Bi 2.826 2.826 0.000
```

Values from the calculation:
Total magnetic moment in μB per cell: 0.0
Final energy in eV/f.u.: -11.630
SG: Pm-3m, No. 221
Volume in Å³/atom: 36.093

First-principles (PBE) data for a geometry-optimized NiHg3Bi structure, as listed in the Alexandria database.

```
5
Lattice="5.015 0.000 0.000 0.000 5.015 0.000 0.000 0.000 5.015" Properties=species:S:1:pos:R:3 pbc="T T T"
Ni 0.000 0.000 0.000
Hg 0.000 0.000 2.508
Hg 0.000 2.508 0.000
Hg 2.508 0.000 0.000
Bi 2.508 2.508 2.508
```

Values from the calculation:
Total magnetic moment in μB per cell: 0.0
Final energy in eV/f.u.: -9.176
SG: Pm-3m, No. 221
Volume in Å³/atom: 25.231

Question: What is the total magnetic moment in the ninth record?
Answer: 0.0 μB per cell

Repeat the seventh record exactly.
First-principles (PBE) data for a geometry-optimized NiHg3Bi structure, as listed in the Alexandria database.

```
5
Lattice="5.862 0.000 0.000 0.000 5.862 0.000 0.000 0.000 5.862" Properties=species:S:1:pos:R:3 pbc="T T T"
Ni 0.000 0.000 0.000
Hg 0.000 2.931 2.931
Hg 2.931 0.000 2.931
Hg 2.931 2.931 0.000
Bi 2.931 2.931 2.931
```

Values from the calculation:
Total magnetic moment in μB per cell: 1.2
Final energy in eV/f.u.: -5.861
SG: Pm-3m, No. 221
Volume in Å³/atom: 40.291

Question: What is the volume in the tenth record?
Answer: 28.273 Å³/atom